(1)
The following is a DFT calculation (PBE-GGA) of a relaxed structure of La4Br5N2.

The structure belongs to space group C2/m (No. 12); the cell edges are 20.700, 3.935 and 7.717 Å and the angles 90.00°, 100.49° and 90.00°. The distinct sites, in fractional coordinates, are La at (0.052, 0.000, 0.209), La at (0.124, 0.500, 0.846), Br at (0.000, 0.500, 0.500), Br at (0.160, 0.000, 0.572), Br at (0.201, 0.000, 0.130) and N at (0.058, 0.000, 0.905).

The calculation puts the formation energy (no corrections) at -1.753 eV/atom.

---

(2)
The following is a DFT calculation (PBE-GGA) of a relaxed structure of YMn2I8.

The structure belongs to space group C2/m (No. 12); the cell edges are 12.306, 12.448 and 7.154 Å and the angles 90.00°, 100.30° and 90.00°. The distinct sites, in fractional coordinates, are Y at (0.000, 0.000, 0.000), Mn at (0.210, 0.000, 0.666), I at (0.077, 0.500, 0.213), I at (0.104, 0.170, 0.784) and I at (0.217, 0.000, 0.295).

The calculation puts the formation energy (no corrections) at -0.710 eV/atom.

---

(3)
The following is a DFT calculation (PBE-GGA) of a relaxed structure of ZnNiAg2.

The structure belongs to space group I-4m2 (No. 119); the cell edges are 3.943, 3.943 and 7.810 Å and the angles 90.00°, 90.00° and 90.00°. The distinct sites, in fractional coordinates, are Zn at (0.000, 0.000, 0.000), Ni at (0.000, 0.500, 0.250), Ag at (0.000, 0.000, 0.500) and Ag at (0.000, 0.500, 0.750).

Its formation energy is 0.061 eV/atom.

---

M_tot? In order: 0.0, 9.0, 0.0 μB per formula unit.
DFT total energy? In order: -0.4277, -0.3008, -0.2299 Ry/atom.